(1)
First-principles (GGA-PBE) data for a relaxed LuReB2 crystal, as listed in OQMD via LeMat-Bulk.

Cell and atoms, written as CIF:
```
data_LuReB2
_cell_length_a 5.9330
_cell_length_b 5.9330
_cell_length_c 5.9330
_cell_angle_alpha 90.00
_cell_angle_beta 90.00
_cell_angle_gamma 90.00
_symmetry_space_group_name_H-M 'P 1'
_symmetry_Int_Tables_number 1
_symmetry_space_group_name_Hall 'P 1'
loop_
_atom_site_label
_atom_site_type_symbol
_atom_site_fract_x
_atom_site_fract_y
_atom_site_fract_z
Lu1 Lu 0.0000 0.0000 0.0000
Lu2 Lu 0.0000 0.5000 0.5000
Lu3 Lu 0.5000 0.0000 0.5000
Lu4 Lu 0.5000 0.5000 0.0000
Re1 Re 0.2500 0.2500 0.7500
Re2 Re 0.2500 0.7500 0.2500
Re3 Re 0.7500 0.2500 0.2500
Re4 Re 0.7500 0.7500 0.7500
B1 B 0.0000 0.0000 0.5000
B2 B 0.0000 0.5000 0.0000
B3 B 0.2500 0.2500 0.2500
B4 B 0.2500 0.7500 0.7500
B5 B 0.5000 0.0000 0.0000
B6 B 0.5000 0.5000 0.5000
B7 B 0.7500 0.2500 0.7500
B8 B 0.7500 0.7500 0.2500
```

**Size of the total moment**: 0.002 μB per atom
**Space group**: F-43m (216)

***

(2)
First-principles (GGA-PBE) data for a relaxed AgPbSeO crystal, as listed in OQMD via LeMat-Bulk.

Cell and atoms, written as CIF:
```
data_AgPbSeO
_cell_length_a 6.4399
_cell_length_b 8.4735
_cell_length_c 6.2177
_cell_angle_alpha 90.00
_cell_angle_beta 90.00
_cell_angle_gamma 90.00
_symmetry_space_group_name_H-M 'P 1'
_symmetry_Int_Tables_number 1
_symmetry_space_group_name_Hall 'P 1'
loop_
_atom_site_label
_atom_site_type_symbol
_atom_site_fract_x
_atom_site_fract_y
_atom_site_fract_z
Ag1 Ag 0.0395 0.1957 0.0000
Ag2 Ag 0.4605 0.1957 0.5000
Ag3 Ag 0.5395 0.8043 0.0000
Ag4 Ag 0.9605 0.8043 0.5000
Pb1 Pb 0.0567 0.6472 0.9912
Pb2 Pb 0.4433 0.6472 0.4912
Pb3 Pb 0.5567 0.3528 0.9912
Pb4 Pb 0.9433 0.3528 0.4912
Se1 Se 0.2473 0.9975 0.2779
Se2 Se 0.2527 0.9975 0.7779
Se3 Se 0.7473 0.0025 0.2779
Se4 Se 0.7527 0.0025 0.7779
O1 O 0.1102 0.5800 0.6202
O2 O 0.3898 0.5800 0.1202
O3 O 0.6102 0.4200 0.6202
O4 O 0.8898 0.4200 0.1202
```

**Space group**: Pca2_1 (29)

***

(3)
First-principles (GGA-PBE) data for a relaxed LiDySO crystal, as listed in OQMD via LeMat-Bulk.

Cell and atoms, written as CIF:
```
data_LiDySO
_cell_length_a 3.8218
_cell_length_b 3.8218
_cell_length_c 8.5167
_cell_angle_alpha 90.00
_cell_angle_beta 90.00
_cell_angle_gamma 90.00
_symmetry_space_group_name_H-M 'P 1'
_symmetry_Int_Tables_number 1
_symmetry_space_group_name_Hall 'P 1'
loop_
_atom_site_label
_atom_site_type_symbol
_atom_site_fract_x
_atom_site_fract_y
_atom_site_fract_z
Li1 Li 0.2500 0.7500 0.0000
Li2 Li 0.7500 0.2500 0.0000
Dy1 Dy 0.2500 0.2500 0.3661
Dy2 Dy 0.7500 0.7500 0.6339
S1 S 0.2500 0.2500 0.8271
S2 S 0.7500 0.7500 0.1729
O1 O 0.2500 0.7500 0.5000
O2 O 0.7500 0.2500 0.5000
```

**Size of the total moment**: 0.000 μB per atom
**Space group**: P4/nmm (129)

***

no.,E_tot (eV/cell),mass density (g/cm³)
1,-99.0,12.2
2,-67.0,8.0
3,-50.8,5.8